Material: DyHfIrO6
Method: DFT, PBE
State: optimized geometry

The structure in POSCAR format:
```
DyHfIrO6
1.0
-4.212 2.574 1.901
2.675 -3.347 3.101
5.830 7.375 2.931
O Hf Ir Dy
12 2 2 2
Cartesian
-0.612 4.314 2.350
1.526 2.441 2.811
-0.241 0.554 3.640
-0.325 3.063 4.928
4.963 4.710 6.807
2.768 4.161 5.122
4.618 3.539 3.005
-0.669 1.892 1.126
4.534 6.048 4.293
4.906 2.287 5.583
-2.430 2.402 3.347
6.724 4.200 4.586
2.456 6.131 4.499
1.837 0.470 3.434
4.752 4.157 4.899
-0.459 2.444 3.034
0.000 0.000 0.000
2.915 3.687 1.465
```

Properties
Crystal system: trigonal
Spin magnetization in Bohr magnetons per cell: 4.09
Volume in Å³/atom: 13.26
Fermi-level density of states in states/eV per cell: 7.6
Uncorrected formation energy in eV/atom: -2.384